(1)
RbLiAc2Se4, optimized geometry, DFT PBE; total moment = 0.0000 μB per atom; raw formation energy = -1.77 eV per atom; uncorrected energy = -4.9032 eV per atom; crystal system = orthorhombic
1.0
-3.5989 2.2157 1.6702
4.2622 -2.4301 6.2255
8.0140 13.2530 -0.3135
Se Rb Ac Li
8 2 4 2
Direct
0.7388 0.4777 0.6124 Se
0.0000 0.0000 0.0000 Se
0.2612 0.5223 0.1124 Se
0.5763 0.1526 0.2500 Se
0.2612 0.5223 0.3876 Se
0.4237 0.8474 0.7500 Se
0.0000 0.0000 0.5000 Se
0.7388 0.4777 0.8876 Se
0.8941 0.7882 0.2500 Rb
0.1059 0.2118 0.7500 Rb
0.3661 0.7322 0.5603 Ac
0.3661 0.7322 0.9397 Ac
0.6339 0.2678 0.4397 Ac
0.6339 0.2678 0.0603 Ac
0.8355 0.6710 0.7500 Li
0.1645 0.3290 0.2500 Li

=====

(2)
LiAcRh, optimized geometry, DFT PBE; formation enthalpy at 0 K = -0.19 eV per atom; total moment = 0.0000 μB per atom; uncorrected energy = -4.6522 eV per atom; crystal system = tetragonal
1.0
3.7560 0.0000 0.0000
0.0000 3.7560 0.0000
-1.8780 -1.8780 4.8608
Ac Li Rh
1 1 1
Direct
0.9342 0.9342 0.8685 Ac
0.6416 0.6416 0.2832 Li
0.2742 0.2742 0.5483 Rh

=====

(3)
LiAcRh, optimized geometry, DFT PBE; formation enthalpy at 0 K = -0.47 eV per atom; total moment = 0.0000 μB per atom; uncorrected energy = -4.9297 eV per atom; crystal system = tetragonal
1.0
4.0135 0.1550 -1.0765
-0.4465 3.9916 -1.0765
0.1039 0.1208 8.4290
Li Rh Ac
2 2 2
Direct
0.5000 0.0000 0.0000 Li
0.0000 0.5000 0.0000 Li
0.8781 0.8781 0.7563 Rh
0.1219 0.1219 0.2437 Rh
0.6656 0.6656 0.3312 Ac
0.3344 0.3344 0.6688 Ac

=====

(4)
Li2Ac2Rh, optimized geometry, DFT PBE; formation enthalpy at 0 K = -0.23 eV per atom; total moment = 0.0000 μB per atom; uncorrected energy = -4.1119 eV per atom; crystal system = orthorhombic
1.0
4.3399 0.0000 1.6505
-0.8052 4.8370 2.1173
0.0677 0.1794 6.3529
Rh Li Ac
1 2 2
Direct
0.0000 0.0000 0.0000 Rh
0.2375 0.5000 0.0000 Li
0.7625 0.5000 0.0000 Li
0.6773 0.1773 0.6454 Ac
0.3227 0.8227 0.3546 Ac

=====

(5)
Li2AcRh, optimized geometry, DFT PBE; formation enthalpy at 0 K = -0.09 eV per atom; total moment = 0.0000 μB per atom; uncorrected energy = -3.9110 eV per atom; crystal system = trigonal
1.0
4.4209 0.0000 0.0000
2.2104 3.8286 0.0000
2.2104 1.2762 4.9520
Li Rh Ac
2 1 1
Direct
0.7964 0.7964 0.6109 Li
0.2036 0.2036 0.3891 Li
0.5000 0.5000 0.5000 Rh
0.0000 0.0000 0.0000 Ac

=====

(6)
Li2AcRh, optimized geometry, DFT PBE; formation enthalpy at 0 K = -0.26 eV per atom; total moment = 0.0000 μB per atom; uncorrected energy = -4.0787 eV per atom; crystal system = monoclinic
1.0
-3.5382 2.1359 0.3785
-0.7779 -5.4290 0.6106
1.3410 0.7450 8.3324
Ac Rh Li
2 2 4
Direct
0.5546 0.1059 0.7500 Ac
0.4454 0.8941 0.2500 Ac
0.7425 0.4860 0.2500 Rh
0.2575 0.5140 0.7500 Rh
0.8253 0.6500 0.5573 Li
0.1747 0.3500 0.0573 Li
0.8253 0.6500 0.9427 Li
0.1747 0.3500 0.4427 Li

=====

(7)
LiAc2Rh3, optimized geometry, DFT PBE; formation enthalpy at 0 K = -0.46 eV per atom; total moment = 0.0000 μB per atom; uncorrected energy = -5.8271 eV per atom; crystal system = hexagonal
1.0
4.4180 0.0000 0.0000
-2.2090 3.8261 0.0000
0.0000 0.0000 16.2727
Ac Rh Li
4 6 2
Direct
0.0000 0.0000 0.3776 Ac
0.0000 0.0000 0.8776 Ac
0.0000 0.0000 0.6224 Ac
0.0000 0.0000 0.1224 Ac
0.3333 0.6667 0.4985 Rh
0.6667 0.3333 0.2500 Rh
0.3333 0.6667 0.7500 Rh
0.6667 0.3333 0.9985 Rh
0.3333 0.6667 0.0015 Rh
0.6667 0.3333 0.5015 Rh
0.6667 0.3333 0.7500 Li
0.3333 0.6667 0.2500 Li

=====

(8)
Li2AcRh, optimized geometry, DFT PBE; formation enthalpy at 0 K = -0.06 eV per atom; total moment = 0.0000 μB per atom; uncorrected energy = -3.8793 eV per atom; crystal system = cubic
1.0
-4.3677 1.2271 1.5654
-2.6525 -3.1690 2.4403
-0.7772 0.6309 4.6937
Rh Li Ac
1 2 1
Direct
0.5000 0.5000 0.5000 Rh
0.7500 0.7500 0.7500 Li
0.2500 0.2500 0.2500 Li
0.0000 0.0000 0.0000 Ac

=====

- Look up the total moment of the eighth one.
  0.0000 μB per atom

=====

- Which of these has the lowest uncorrected energy?
  LiAc2Rh3

=====

- uncorrected energy of number 3 (LiAcRh)?
  -4.9297 eV per atom

=====

Please write out number 1 again, unchanged.
RbLiAc2Se4, optimized geometry, DFT PBE; total moment = 0.0000 μB per atom; raw formation energy = -1.77 eV per atom; uncorrected energy = -4.9032 eV per atom; crystal system = orthorhombic
1.0
-3.5989 2.2157 1.6702
4.2622 -2.4301 6.2255
8.0140 13.2530 -0.3135
Se Rb Ac Li
8 2 4 2
Direct
0.7388 0.4777 0.6124 Se
0.0000 0.0000 0.0000 Se
0.2612 0.5223 0.1124 Se
0.5763 0.1526 0.2500 Se
0.2612 0.5223 0.3876 Se
0.4237 0.8474 0.7500 Se
0.0000 0.0000 0.5000 Se
0.7388 0.4777 0.8876 Se
0.8941 0.7882 0.2500 Rb
0.1059 0.2118 0.7500 Rb
0.3661 0.7322 0.5603 Ac
0.3661 0.7322 0.9397 Ac
0.6339 0.2678 0.4397 Ac
0.6339 0.2678 0.0603 Ac
0.8355 0.6710 0.7500 Li
0.1645 0.3290 0.2500 Li